Y2Tm2N3 | PBE | relaxed

Calculated values
- SG: C2/m (12)
- Uncorrected formation energy: -10.43 eV/f.u.
- Raw total energy: -8.1826 eV/atom
- Spin magnetization: 0.000 μB per atom

Lattice parameters (Å, degrees): 3.453 6.016 5.988 99.41 106.76 90.00
Atoms (fractional coordinates):
Y (0.868, 0.633, 0.735)
Y (0.132, 0.367, 0.265)
N (0.251, 0.756, 0.502)
N (0.749, 0.244, 0.498)
N (0.000, 0.000, 0.000)
Tm (0.374, 0.111, 0.747)
Tm (0.626, 0.889, 0.253)


Y2Tm3N4 | PBE | relaxed

Calculated values
- SG: C2/m (12)
- Uncorrected formation energy: -14.15 eV/f.u.
- Raw total energy: -8.1990 eV/atom
- Spin magnetization: 0.000 μB per atom

Lattice parameters (Å, degrees): 3.441 5.968 7.734 75.18 77.15 73.24
Atoms (fractional coordinates):
Y (0.395, 0.820, 0.390)
Y (0.605, 0.180, 0.610)
Tm (0.000, 0.000, 0.000)
Tm (0.794, 0.599, 0.812)
Tm (0.206, 0.401, 0.188)
N (0.800, 0.102, 0.298)
N (0.397, 0.302, 0.904)
N (0.603, 0.698, 0.096)
N (0.200, 0.898, 0.702)


Y4Tm2N | PBE | relaxed

Calculated values
- SG: I4/mmm (139)
- Uncorrected formation energy: -1.68 eV/f.u.
- Raw total energy: -6.4003 eV/atom
- Spin magnetization: 0.000 μB per atom

Lattice parameters (Å, degrees): 4.775 4.775 9.437 75.34 75.34 90.00
Atoms (fractional coordinates):
Y (0.000, 0.500, 0.000)
Y (0.500, 0.000, 0.000)
Y (0.134, 0.134, 0.731)
Y (0.866, 0.866, 0.269)
Tm (0.667, 0.667, 0.665)
Tm (0.333, 0.333, 0.335)
N (0.000, 0.000, 0.000)


Y3TmN4 | PBE | relaxed

Calculated values
- SG: P2/c (13)
- Uncorrected formation energy: -13.79 eV/f.u.
- Raw total energy: -8.8688 eV/atom
- Spin magnetization: 0.000 μB per atom
- Distance to the lowest polymorph of the same formula: 0.0 meV/atom

Lattice parameters (Å, degrees): 5.991 5.992 6.922 90.00 90.00 109.46
Atoms (fractional coordinates):
Y (0.250, 0.500, 0.374)
Y (0.750, 0.500, 0.626)
Y (0.750, 0.000, 0.374)
Y (0.750, 0.500, 0.124)
Y (0.250, 0.000, 0.626)
Y (0.250, 0.500, 0.876)
N (0.999, 0.754, 0.877)
N (0.002, 0.751, 0.373)
N (0.998, 0.249, 0.627)
N (0.499, 0.754, 0.123)
N (0.502, 0.751, 0.627)
N (0.501, 0.246, 0.877)
N (0.001, 0.246, 0.123)
N (0.498, 0.249, 0.373)
Tm (0.250, 0.000, 0.124)
Tm (0.750, 0.000, 0.876)


YTm4N4 | PBE | relaxed

Calculated values
- SG: I4/m (87)
- Uncorrected formation energy: -14.29 eV/f.u.
- Raw total energy: -7.9937 eV/atom
- Spin magnetization: 0.000 μB per atom

Lattice parameters (Å, degrees): 4.822 5.956 5.955 80.59 66.12 66.12
Atoms (fractional coordinates):
Tm (0.188, 0.203, 0.421)
Tm (0.812, 0.797, 0.579)
Tm (0.391, 0.421, 0.796)
Tm (0.609, 0.579, 0.204)
N (0.699, 0.201, 0.402)
N (0.301, 0.799, 0.598)
N (0.100, 0.598, 0.201)
N (0.900, 0.402, 0.799)
Y (0.000, 0.000, 0.000)


YTm2N | PBE | relaxed

Calculated values
- SG: R-3m (166)
- Uncorrected formation energy: -2.84 eV/f.u.
- Raw total energy: -6.6426 eV/atom
- Spin magnetization: 0.275 μB per atom

Lattice parameters (Å, degrees): 3.408 3.408 9.513 79.68 79.68 60.00
Last column: magnetic moment on the atom in μB.
Atoms (fractional coordinates):
Tm (0.120, 0.120, 0.641)  0.22
Tm (0.880, 0.880, 0.359)  0.22
Y (0.000, 0.000, 0.000)  0.29
N (0.500, 0.500, 0.500)  -0.01


YTmZr2N4 | PBE | relaxed

Calculated values
- SG: P2/m (10)
- Uncorrected formation energy: -13.97 eV/f.u.
- Raw total energy: -9.4133 eV/atom
- Spin magnetization: 0.000 μB per atom

Lattice parameters (Å, degrees): 3.331 5.765 5.817 109.32 90.00 90.00
Atoms (fractional coordinates):
N (0.000, 0.758, 0.265)
N (0.000, 0.242, 0.735)
N (0.500, 0.251, 0.262)
N (0.500, 0.749, 0.738)
Y (0.500, 0.500, 0.000)
Zr (0.000, 0.500, 0.500)
Zr (0.500, 0.000, 0.500)
Tm (0.000, 0.000, 0.000)


Y3TmZr2N6 | PBE | relaxed

Calculated values
- SG: C2/m (12)
- Uncorrected formation energy: -20.94 eV/f.u.
- Raw total energy: -9.3209 eV/atom
- Spin magnetization: 0.000 μB per atom

Lattice parameters (Å, degrees): 5.847 5.847 5.872 99.55 99.55 120.01
Atoms (fractional coordinates):
Y (0.166, 0.834, 0.500)
Y (0.500, 0.500, 0.500)
Y (0.834, 0.166, 0.500)
N (0.737, 0.737, 0.234)
N (0.078, 0.419, 0.235)
N (0.922, 0.581, 0.765)
N (0.419, 0.078, 0.235)
N (0.263, 0.263, 0.766)
N (0.581, 0.922, 0.765)
Zr (0.333, 0.667, 0.000)
Zr (0.667, 0.333, 0.000)
Tm (0.000, 0.000, 0.000)


YTm3Zr2N6 | PBE | relaxed

Calculated values
- SG: C2/m (12)
- Uncorrected formation energy: -21.35 eV/f.u.
- Raw total energy: -9.0231 eV/atom
- Spin magnetization: 0.000 μB per atom

Lattice parameters (Å, degrees): 3.354 6.729 7.505 103.01 102.91 90.00
Atoms (fractional coordinates):
N (0.995, 0.743, 0.990)
N (0.331, 0.906, 0.662)
N (0.330, 0.422, 0.661)
N (0.005, 0.257, 0.010)
N (0.670, 0.578, 0.339)
N (0.669, 0.094, 0.338)
Tm (0.833, 0.167, 0.666)
Tm (0.167, 0.833, 0.334)
Tm (0.500, 0.500, 0.000)
Zr (0.833, 0.665, 0.666)
Zr (0.167, 0.335, 0.334)
Y (0.500, 0.000, 0.000)


Tm3ZnN | PBE | relaxed

Calculated values
- SG: Pm-3m (221)
- Uncorrected formation energy: -4.19 eV/f.u.
- Raw total energy: -5.4412 eV/atom
- Spin magnetization: 0.000 μB per atom

Lattice parameters (Å, degrees): 4.683 4.683 4.683 90.00 90.00 90.00
Atoms (fractional coordinates):
N (0.000, 0.000, 0.000)
Tm (0.000, 0.500, 0.000)
Tm (0.000, 0.000, 0.500)
Tm (0.500, 0.000, 0.000)
Zn (0.500, 0.500, 0.500)


Tm4Zn2N | PBE | relaxed

Calculated values
- SG: I4/mmm (139)
- Uncorrected formation energy: -4.28 eV/f.u.
- Raw total energy: -4.7199 eV/atom
- Spin magnetization: 0.000 μB per atom

Lattice parameters (Å, degrees): 4.667 4.667 7.765 72.51 72.51 90.00
Atoms (fractional coordinates):
Tm (0.174, 0.174, 0.652)
Tm (0.826, 0.826, 0.348)
Tm (0.000, 0.500, 0.000)
Tm (0.500, 0.000, 0.000)
Zn (0.374, 0.374, 0.252)
Zn (0.626, 0.626, 0.748)
N (0.000, 0.000, 0.000)


Tm2ZnN | PBE | relaxed

Calculated values
- SG: R-3m (166)
- Uncorrected formation energy: -3.78 eV/f.u.
- Raw total energy: -5.5798 eV/atom
- Spin magnetization: 0.000 μB per atom

Lattice parameters (Å, degrees): 3.428 3.428 7.617 77.00 77.00 60.00
Atoms (fractional coordinates):
Tm (0.772, 0.772, 0.683)
Tm (0.228, 0.228, 0.317)
Zn (0.000, 0.000, 0.000)
N (0.500, 0.500, 0.500)


Tm3ZnN | PBE | relaxed

Calculated values
- SG: Pnma (62)
- Uncorrected formation energy: -4.42 eV/f.u.
- Raw total energy: -5.4872 eV/atom
- Spin magnetization: 0.000 μB per atom

Lattice parameters (Å, degrees): 6.634 6.560 9.300 90.00 90.00 90.00
Atoms (fractional coordinates):
Tm (0.236, 0.765, 0.960)
Tm (0.507, 0.079, 0.750)
Tm (0.264, 0.265, 0.460)
Tm (0.736, 0.735, 0.960)
Tm (0.493, 0.921, 0.250)
Tm (0.264, 0.265, 0.040)
Tm (0.007, 0.421, 0.750)
Tm (0.236, 0.765, 0.540)
Tm (0.736, 0.735, 0.540)
Tm (0.993, 0.579, 0.250)
Tm (0.764, 0.235, 0.040)
Tm (0.764, 0.235, 0.460)
Zn (0.015, 0.010, 0.250)
Zn (0.515, 0.490, 0.250)
Zn (0.485, 0.510, 0.750)
Zn (0.985, 0.990, 0.750)
N (0.000, 0.500, 0.000)
N (0.500, 0.000, 0.500)
N (0.500, 0.000, 0.000)
N (0.000, 0.500, 0.500)


TmZr2N4 | PBE | relaxed

Calculated values
- SG: C2/m (12)
- Uncorrected formation energy: -8.70 eV/f.u.
- Raw total energy: -9.0808 eV/atom
- Spin magnetization: 0.092 μB per atom

Lattice parameters (Å, degrees): 3.326 6.257 5.537 65.41 90.00 74.59
Last column: magnetic moment on the atom in μB.
Atoms (fractional coordinates):
N (0.861, 0.279, 0.552)  0.10
N (0.139, 0.721, 0.448)  0.10
N (0.357, 0.285, 0.994)  0.14
N (0.643, 0.715, 0.006)  0.14
Zr (0.710, 0.580, 0.706)  0.00
Zr (0.290, 0.420, 0.294)  0.00
Tm (0.000, 0.000, 0.000)  -0.01


TmZr2N2 | PBE | relaxed

Calculated values
- SG: Immm (71)
- Uncorrected formation energy: -7.03 eV/f.u.
- Raw total energy: -9.0488 eV/atom
- Spin magnetization: 0.000 μB per atom

Lattice parameters (Å, degrees): 3.377 4.551 5.857 112.86 106.76 90.00
Atoms (fractional coordinates):
Zr (0.685, 0.685, 0.371)
Zr (0.315, 0.315, 0.629)
Tm (0.000, 0.000, 0.000)
N (0.667, 0.167, 0.335)
N (0.333, 0.833, 0.665)


TmZr2N3 | PBE | relaxed

Calculated values
- SG: Pnma (62)
- Uncorrected formation energy: -10.50 eV/f.u.
- Raw total energy: -9.5066 eV/atom
- Spin magnetization: 0.000 μB per atom

Lattice parameters (Å, degrees): 4.660 6.601 9.918 90.00 90.00 90.00
Atoms (fractional coordinates):
Zr (0.250, 0.376, 0.750)
Zr (0.750, 0.124, 0.584)
Zr (0.750, 0.124, 0.250)
Zr (0.750, 0.624, 0.916)
Zr (0.250, 0.876, 0.750)
Zr (0.250, 0.376, 0.084)
Zr (0.250, 0.876, 0.416)
Zr (0.750, 0.624, 0.250)
N (0.250, 0.130, 0.914)
N (0.250, 0.125, 0.250)
N (0.750, 0.875, 0.750)
N (0.750, 0.379, 0.084)
N (0.750, 0.370, 0.414)
N (0.250, 0.630, 0.586)
N (0.250, 0.621, 0.916)
N (0.250, 0.121, 0.584)
N (0.250, 0.625, 0.250)
N (0.750, 0.870, 0.086)
N (0.750, 0.879, 0.416)
N (0.750, 0.375, 0.750)
Tm (0.750, 0.126, 0.918)
Tm (0.250, 0.374, 0.418)
Tm (0.250, 0.874, 0.082)
Tm (0.750, 0.626, 0.582)


Tm4ZrN4 | PBE | relaxed

Calculated values
- SG: I-42m (121)
- Uncorrected formation energy: -8.58 eV/f.u.
- Raw total energy: -7.5911 eV/atom
- Spin magnetization: 0.000 μB per atom
- Distance to the lowest polymorph of the same formula: 622.6 meV/atom

Lattice parameters (Å, degrees): 5.625 5.625 6.506 115.61 115.61 90.00
Atoms (fractional coordinates):
N (0.891, 0.346, 0.236)
N (0.654, 0.654, 0.764)
N (0.109, 0.109, 0.764)
N (0.346, 0.891, 0.236)
Tm (0.710, 0.710, 0.419)
Tm (0.290, 0.290, 0.581)
Tm (0.000, 0.500, 0.000)
Tm (0.500, 0.000, 0.000)
Zr (0.000, 0.000, 0.000)


Tm4Zr3N8 | PBE | relaxed

Calculated values
- SG: C2/m (12)
- Uncorrected formation energy: -22.54 eV/f.u.
- Raw total energy: -8.8448 eV/atom
- Spin magnetization: 0.000 μB per atom

Lattice parameters (Å, degrees): 6.656 6.652 6.652 89.77 120.36 120.36
Atoms (fractional coordinates):
N (0.000, 0.757, 0.243)
N (0.500, 0.253, 0.747)
N (0.491, 0.250, 0.250)
N (0.000, 0.243, 0.757)
N (0.509, 0.750, 0.750)
N (0.982, 0.751, 0.751)
N (0.500, 0.747, 0.253)
N (0.018, 0.249, 0.249)
Tm (0.000, 0.500, 0.000)
Tm (0.000, 0.000, 0.000)
Tm (0.000, 0.000, 0.500)
Tm (0.500, 0.000, 0.000)
Zr (0.500, 0.500, 0.500)
Zr (0.500, 0.500, 0.000)
Zr (0.500, 0.000, 0.500)


TmZrN | PBE | relaxed

Calculated values
- SG: P3m1 (156)
- Uncorrected formation energy: -3.33 eV/f.u.
- Raw total energy: -8.2263 eV/atom
- Spin magnetization: 0.002 μB per atom
- Distance to the lowest polymorph of the same formula: 0.0 meV/atom

Lattice parameters (Å, degrees): 5.546 3.353 3.353 120.00 90.00 90.00
Atoms (fractional coordinates):
Zr (0.105, 0.000, 0.000)
N (0.326, 0.333, 0.667)
Tm (0.569, 0.667, 0.333)


TmZrN2 | PBE | relaxed

Calculated values
- SG: R3m (160)
- Uncorrected formation energy: -6.16 eV/f.u.
- Raw total energy: -8.9580 eV/atom
- Spin magnetization: 0.032 μB per atom

Lattice parameters (Å, degrees): 3.268 3.268 6.019 74.25 74.25 60.00
Last column: magnetic moment on the atom in μB.
Atoms (fractional coordinates):
N (0.247, 0.247, 0.258)  0.00
N (0.083, 0.083, 0.750)  0.00
Zr (0.498, 0.498, 0.507)  0.07
Tm (0.672, 0.672, 0.985)  0.02